(1)
A geometry-optimized ErCo2B2 structure. Source: Alexandria via LeMat-Bulk, functional GGA-PBEsol.

Cell lengths 5.159, 5.159, 5.159 Å; angles 140.39, 140.39, 57.26 degrees
Sites, in units of the cell vectors:
Er 0.000 0.000 0.000
Co 0.250 0.750 0.500
Co 0.750 0.250 0.500
B 0.356 0.356 0.000
B 0.644 0.644 0.000

Results
DFT formation energy = -3.3 eV per formula unit
SG = No. 139
Magnetic moment = 0.00 μB per atom

=====

(2)
A geometry-optimized CaSc2Ta structure. Source: Alexandria via LeMat-Bulk, functional GGA-PBEsol.

Cell lengths 5.064, 5.064, 5.064 Å; angles 60.00, 60.00, 60.00 degrees
Sites, in units of the cell vectors:
Ca 0.000 0.000 0.000
Sc 0.250 0.250 0.250
Sc 0.750 0.750 0.750
Ta 0.500 0.500 0.500

Results
DFT formation energy = 2.0 eV per formula unit
SG = No. 225
Magnetic moment = 0.59 μB per atom
Relative energy among the computed polymorphs = 0.1620 eV per atom

=====

(3)
A geometry-optimized NaCo2O4 structure. Source: Alexandria via LeMat-Bulk, functional GGA-PBEsol.

Cell lengths 5.588, 11.044, 4.839 Å; angles 90.00, 90.00, 90.00 degrees
Sites, in units of the cell vectors:
Na 0.250 0.250 0.033
Na 0.250 0.750 0.355
Na 0.750 0.250 0.645
Na 0.750 0.750 0.967
Co 0.000 0.000 0.500
Co 0.000 0.500 0.500
Co 0.250 0.503 0.998
Co 0.250 0.997 0.998
Co 0.500 0.000 0.500
Co 0.500 0.500 0.500
Co 0.750 0.003 0.002
Co 0.750 0.497 0.002
O 0.001 0.088 0.834
O 0.001 0.412 0.834
O 0.250 0.084 0.329
O 0.250 0.416 0.329
O 0.250 0.587 0.664
O 0.250 0.913 0.664
O 0.499 0.088 0.834
O 0.499 0.412 0.834
O 0.501 0.588 0.166
O 0.501 0.912 0.166
O 0.750 0.087 0.336
O 0.750 0.413 0.336
O 0.750 0.584 0.671
O 0.750 0.916 0.671
O 0.999 0.588 0.166
O 0.999 0.912 0.166

Results
SG = No. 59
Magnetic moment = 0.15 μB per atom
E_form (uncorrected) = -123 kJ/mol of atoms

=====

(4)
A geometry-optimized YCoMo structure. Source: Alexandria via LeMat-Bulk, functional GGA-PBEsol.

Cell lengths 3.908, 3.908, 4.353 Å; angles 90.00, 90.00, 120.00 degrees
Sites, in units of the cell vectors:
Y 0.000 0.000 0.000
Co 0.333 0.667 0.500
Mo 0.667 0.333 0.500

Results
DFT formation energy = 0.5 eV per formula unit
SG = No. 187
Magnetic moment = 0.00 μB per atom

=====

(5)
A geometry-optimized ZrFePb2 structure. Source: Alexandria via LeMat-Bulk, functional GGA-PBEsol.

Cell lengths 9.209, 9.209, 9.209 Å; angles 20.45, 20.45, 20.45 degrees
Sites, in units of the cell vectors:
Zr 0.000 0.000 0.000
Fe 0.500 0.500 0.500
Pb 0.240 0.240 0.240
Pb 0.760 0.760 0.760

Results
DFT formation energy = 1.3 eV per formula unit
SG = No. 166
Magnetic moment = 0.58 μB per atom
Relative energy among the computed polymorphs = 0.2308 eV per atom

=====

(6)
A geometry-optimized Tl structure. Source: Alexandria via LeMat-Bulk, functional GGA-PBEsol.

Cell lengths 3.409, 3.409, 3.409 Å; angles 60.00, 60.00, 60.00 degrees
Sites, in units of the cell vectors:
Tl 0.000 0.000 0.000

Results
DFT formation energy = 0.0 eV per formula unit
SG = No. 225
Magnetic moment = 0.00 μB per atom
Relative energy among the computed polymorphs = 0.0141 eV per atom